# 1
# Ta2FeBr (meta-GGA SCAN, single point on PBEsol structure)
data_Ta2FeBr
_cell_length_a 3.269
_cell_length_b 4.961
_cell_length_c 8.455
_cell_angle_alpha 90.00
_cell_angle_beta 90.00
_cell_angle_gamma 90.00
_space_group_name_H-M_alt 'C m m 2'
_space_group_IT_number 35
loop_
_space_group_symop_operation_xyz
'x,y,z'
'-x,-y,z'
'-x,y,z'
'x,-y,z'
'x+1/2,y+1/2,z'
'-x+1/2,-y+1/2,z'
'-x+1/2,y+1/2,z'
'x+1/2,-y+1/2,z'
loop_
_atom_site_label
_atom_site_type_symbol
_atom_site_fract_x
_atom_site_fract_y
_atom_site_fract_z
Ta1 Ta 0.000 0.000 0.000
Ta2 Ta 0.000 0.500 0.264
Fe1 Fe 0.000 0.000 0.486
Br1 Br 0.000 0.500 0.742
# - calculated volume (Å³ per cell) = 137
# - energy relative to the elements, uncorrected (eV per atom) = 0.362
# - VASP energy (eV/atom) = -42.33


# 2
# Ta2FeBr (meta-GGA SCAN, single point on PBEsol structure)
data_Ta2FeBr
_cell_length_a 3.729
_cell_length_b 3.729
_cell_length_c 9.136
_cell_angle_alpha 90.00
_cell_angle_beta 90.00
_cell_angle_gamma 90.00
_space_group_name_H-M_alt 'I -4 m 2'
_space_group_IT_number 119
_space_group_name_Hall 'I -4 -2'
loop_
_atom_site_label
_atom_site_type_symbol
_atom_site_fract_x
_atom_site_fract_y
_atom_site_fract_z
Ta1 Ta 0.000 0.000 0.000
Ta2 Ta 0.000 0.500 0.250
Fe1 Fe 0.000 0.500 0.750
Br1 Br 0.000 0.000 0.500
# - calculated volume (Å³ per cell) = 127
# - energy relative to the elements, uncorrected (eV per atom) = 0.917
# - VASP energy (eV/atom) = -41.77


# 3
# TaFe2Br (meta-GGA SCAN, single point on PBEsol structure)
data_TaFe2Br
_cell_length_a 2.968
_cell_length_b 4.253
_cell_length_c 4.447
_cell_angle_alpha 90.00
_cell_angle_beta 90.00
_cell_angle_gamma 90.00
_space_group_name_H-M_alt 'P m m m'
_space_group_IT_number 47
loop_
_space_group_symop_operation_xyz
'x,y,z'
'-x,-y,-z'
'-x,-y,z'
'x,y,-z'
'x,-y,-z'
'-x,y,z'
'-x,y,-z'
'x,-y,z'
loop_
_atom_site_label
_atom_site_type_symbol
_atom_site_fract_x
_atom_site_fract_y
_atom_site_fract_z
Ta1 Ta 0.000 0.000 0.000
Fe1 Fe 0.000 0.500 0.500
Fe2 Fe 0.500 0.500 0.000
Br1 Br 0.500 0.000 0.500
# - calculated volume (Å³ per cell) = 56
# - energy relative to the elements, uncorrected (eV per atom) = 0.756
# - VASP energy (eV/atom) = -29.82


# 4
# TaFe2Br (meta-GGA SCAN, single point on PBEsol structure)
data_TaFe2Br
_cell_length_a 4.325
_cell_length_b 4.325
_cell_length_c 6.106
_cell_angle_alpha 90.00
_cell_angle_beta 90.00
_cell_angle_gamma 90.00
_space_group_name_H-M_alt 'I -4 m 2'
_space_group_IT_number 119
_space_group_name_Hall 'I -4 -2'
loop_
_atom_site_label
_atom_site_type_symbol
_atom_site_fract_x
_atom_site_fract_y
_atom_site_fract_z
Ta1 Ta 0.000 0.000 0.000
Fe1 Fe 0.000 0.000 0.500
Fe2 Fe 0.000 0.500 0.750
Br1 Br 0.000 0.500 0.250
# - calculated volume (Å³ per cell) = 114
# - energy relative to the elements, uncorrected (eV per atom) = 0.796
# - VASP energy (eV/atom) = -29.78


# 5
# TaFeBr4 (meta-GGA SCAN, single point on PBEsol structure)
data_TaFeBr4
_cell_length_a 8.248
_cell_length_b 8.248
_cell_length_c 8.248
_cell_angle_alpha 90.00
_cell_angle_beta 90.00
_cell_angle_gamma 90.00
_space_group_name_H-M_alt 'F -4 3 m'
_space_group_IT_number 216
_space_group_name_Hall 'F -4 2 3'
loop_
_atom_site_label
_atom_site_type_symbol
_atom_site_fract_x
_atom_site_fract_y
_atom_site_fract_z
Ta1 Ta 0.000 0.000 0.000
Fe1 Fe 0.250 0.250 0.250
Br1 Br 0.125 0.125 0.625
# - calculated volume (Å³ per cell) = 561
# - energy relative to the elements, uncorrected (eV per atom) = 1.639
# - VASP energy (eV/atom) = -25.45


# 6
# Ta2FeBr (meta-GGA SCAN, single point on PBEsol structure)
data_Ta2FeBr
_cell_length_a 4.352
_cell_length_b 4.352
_cell_length_c 6.617
_cell_angle_alpha 90.00
_cell_angle_beta 90.00
_cell_angle_gamma 90.00
_space_group_name_H-M_alt 'I 4/m m m'
_space_group_IT_number 139
_space_group_name_Hall '-I 4 2'
loop_
_atom_site_label
_atom_site_type_symbol
_atom_site_fract_x
_atom_site_fract_y
_atom_site_fract_z
Ta1 Ta 0.000 0.500 0.250
Fe1 Fe 0.000 0.000 0.000
Br1 Br 0.000 0.000 0.500
# - calculated volume (Å³ per cell) = 125
# - energy relative to the elements, uncorrected (eV per atom) = 0.700
# - VASP energy (eV/atom) = -41.99